Entry from Alexandria: LiNdZn2Au5 after structural relaxation (GGA-PBE).

```
data_LiNdZn2Au5
_symmetry_space_group_name_H-M 'P 1'
_symmetry_Int_Tables_number 1
_cell_length_a 4.538
_cell_length_b 4.538
_cell_length_c 9.088
_cell_angle_alpha 90.00
_cell_angle_beta 90.00
_cell_angle_gamma 90.00
loop_
_symmetry_equiv_pos_as_xyz
'x,y,z'
loop_
_atom_site_label
_atom_site_fract_x
_atom_site_fract_y
_atom_site_fract_z
Li1 0.000 0.000 0.000
Nd1 0.000 0.000 0.500
Zn1 0.500 0.500 0.132
Zn2 0.500 0.500 0.868
Au1 0.000 0.500 0.268
Au2 0.000 0.500 0.732
Au3 0.500 0.000 0.268
Au4 0.500 0.000 0.732
Au5 0.500 0.500 0.500
```

Calculated values
The value obtained for the formation energy is -0.36 eV per atom. The value obtained for the volume is 20.79 Å³ per atom. Its theoretical density is 11.2 Mg/m³.

=====

Entry from Alexandria: PuMg2Sn4 after structural relaxation (GGA-PBE).

```
data_PuMg2Sn4
_symmetry_space_group_name_H-M 'P 1'
_symmetry_Int_Tables_number 1
_cell_length_a 6.436
_cell_length_b 6.436
_cell_length_c 4.530
_cell_angle_alpha 90.00
_cell_angle_beta 90.00
_cell_angle_gamma 91.13
loop_
_symmetry_equiv_pos_as_xyz
'x,y,z'
loop_
_atom_site_label
_atom_site_fract_x
_atom_site_fract_y
_atom_site_fract_z
Pu1 0.000 0.000 0.000
Mg1 0.292 0.292 0.500
Mg2 0.708 0.708 0.500
Sn1 0.000 0.500 0.000
Sn2 0.241 0.759 0.500
Sn3 0.500 0.000 0.000
Sn4 0.759 0.241 0.500
```

Calculated values
The value obtained for the formation energy is -0.17 eV per atom. The value obtained for the volume is 26.80 Å³ per atom. Its theoretical density is 6.8 Mg/m³.

=====

Entry from Alexandria: Dy2BeHPd6 after structural relaxation (GGA-PBE).

```
data_Dy2BeHPd6
_symmetry_space_group_name_H-M 'P 1'
_symmetry_Int_Tables_number 1
_cell_length_a 5.812
_cell_length_b 5.819
_cell_length_c 6.233
_cell_angle_alpha 62.56
_cell_angle_beta 62.95
_cell_angle_gamma 60.29
loop_
_symmetry_equiv_pos_as_xyz
'x,y,z'
loop_
_atom_site_label
_atom_site_fract_x
_atom_site_fract_y
_atom_site_fract_z
Dy1 0.241 0.240 0.282
Dy2 0.759 0.760 0.718
Be1 0.500 0.500 0.500
H1 0.000 0.000 0.000
Pd1 0.237 0.743 0.779
Pd2 0.239 0.239 0.779
Pd3 0.256 0.763 0.222
Pd4 0.744 0.237 0.778
Pd5 0.761 0.761 0.221
Pd6 0.763 0.257 0.221
```

Calculated values
The value obtained for the volume is 15.53 Å³ per atom. Its theoretical density is 10.4 Mg/m³. The value obtained for the total energy is -5.49 eV per atom.

=====

Entry from Alexandria: Tb6PrSm3Tm2 after structural relaxation (GGA-PBE).

```
data_Tb6PrSm3Tm2
_symmetry_space_group_name_H-M 'P 1'
_symmetry_Int_Tables_number 1
_cell_length_a 6.193
_cell_length_b 6.193
_cell_length_c 11.867
_cell_angle_alpha 94.97
_cell_angle_beta 94.97
_cell_angle_gamma 119.96
loop_
_symmetry_equiv_pos_as_xyz
'x,y,z'
loop_
_atom_site_label
_atom_site_fract_x
_atom_site_fract_y
_atom_site_fract_z
Tb1 0.082 0.417 0.752
Tb2 0.249 0.249 0.248
Tb3 0.417 0.082 0.752
Tb4 0.583 0.918 0.248
Tb5 0.751 0.751 0.752
Tb6 0.918 0.583 0.248
Pr1 0.500 0.500 0.000
Sm1 0.000 0.000 0.500
Sm2 0.333 0.667 0.500
Sm3 0.667 0.333 0.500
Tm1 0.167 0.833 0.000
Tm2 0.833 0.167 0.000
```

Calculated values
The value obtained for the formation energy is 0.02 eV per atom. The value obtained for the volume is 32.36 Å³ per atom. Its theoretical density is 8.1 Mg/m³.

=====

Entry from Alexandria: Dy4InRu2Pt after structural relaxation (GGA-PBE).

```
data_Dy4InRu2Pt
_symmetry_space_group_name_H-M 'P 1'
_symmetry_Int_Tables_number 1
_cell_length_a 8.620
_cell_length_b 8.620
_cell_length_c 8.620
_cell_angle_alpha 33.43
_cell_angle_beta 33.43
_cell_angle_gamma 33.43
loop_
_symmetry_equiv_pos_as_xyz
'x,y,z'
loop_
_atom_site_label
_atom_site_fract_x
_atom_site_fract_y
_atom_site_fract_z
Dy1 0.120 0.120 0.120
Dy2 0.371 0.371 0.371
Dy3 0.629 0.629 0.629
Dy4 0.880 0.880 0.880
In1 0.500 0.500 0.500
Ru1 0.248 0.248 0.248
Ru2 0.752 0.752 0.752
Pt1 0.000 0.000 0.000
```

Calculated values
The value obtained for the formation energy is -0.57 eV per atom. The value obtained for the volume is 21.63 Å³ per atom. Its theoretical density is 11.1 Mg/m³.

=====

Entry from Alexandria: PmSmIr after structural relaxation (GGA-PBE).

```
data_PmSmIr
_symmetry_space_group_name_H-M 'P 1'
_symmetry_Int_Tables_number 1
_cell_length_a 7.121
_cell_length_b 7.121
_cell_length_c 7.758
_cell_angle_alpha 120.34
_cell_angle_beta 120.34
_cell_angle_gamma 32.08
loop_
_symmetry_equiv_pos_as_xyz
'x,y,z'
loop_
_atom_site_label
_atom_site_fract_x
_atom_site_fract_y
_atom_site_fract_z
Pm1 0.000 0.000 0.000
Pm2 0.653 0.653 0.500
Sm1 0.411 0.411 0.518
Sm2 0.740 0.740 0.024
Ir1 0.087 0.087 0.718
Ir2 0.423 0.423 0.161
```

Calculated values
The value obtained for the formation energy is -0.41 eV per atom. The value obtained for the volume is 29.63 Å³ per atom. Its theoretical density is 9.1 Mg/m³. As for the polymorph energy (0 for the lowest one): 0.158 eV/atom.

=====

| no. | Fermi-level density of states (states/eV per atom) | size of the total moment (μB per formula unit) |
| --- | --- | --- |
| 1 | 0.314 | 0.0 |
| 2 | 1.800 | 5.5 |
| 3 | 0.133 | 0.0 |
| 4 | 1.273 | 0.0 |
| 5 | 0.608 | 0.0 |
| 6 | 0.870 | 0.0 |